# 1
The following is a SCAN calculation of a crystal of Ba2HfZr2 relaxed with PBEsol, from Alexandria via LeMat-Bulk.

It has space group I4/mmm (No. 139), with a = 4.378 Å, b = 4.378 Å, c = 15.857 Å, α = 90.00°, β = 90.00° and γ = 90.00°. The distinct sites, in fractional coordinates, are Ba at (0.000, 0.500, 0.250), Hf at (0.000, 0.000, 0.000) and Zr at (0.000, 0.000, 0.423).

For the formation energy, the calculation gives 1.065 eV/atom. The total magnetic moment comes out at 1.5 μB per formula unit. As for the total energy: -395.69 eV for the cell shown.

---

# 2
The following is a SCAN calculation of a crystal of RbNi2RhC relaxed with PBEsol, from Alexandria via LeMat-Bulk.

It has space group P4/mmm (No. 123), with a = 3.694 Å, b = 3.694 Å, c = 5.415 Å, α = 90.00°, β = 90.00° and γ = 90.00°. The distinct sites, in fractional coordinates, are Rb at (0.000, 0.000, 0.000), Ni at (0.000, 0.500, 0.500), Rh at (0.500, 0.500, 0.000) and C at (0.000, 0.000, 0.500).

For the formation energy, the calculation gives 1.116 eV/atom. The total magnetic moment comes out at 0.9 μB per formula unit. As for the total energy: -91.37 eV for the cell shown.

---

# 3
The following is a SCAN calculation of a crystal of Co2NiBr relaxed with PBEsol, from Alexandria via LeMat-Bulk.

It has space group C2/m (No. 12), with a = 4.847 Å, b = 8.850 Å, c = 2.963 Å, α = 90.00°, β = 126.15° and γ = 90.00°. The distinct sites, in fractional coordinates, are Co at (0.250, 0.250, 0.000), Ni at (0.000, 0.000, 0.500) and Br at (0.000, 0.500, 0.500).

The value obtained for the excess energy over the best structure of this formula in the dataset is 77 kJ/mol of formula units. The total magnetic moment comes out at 4.0 μB per formula unit. The value obtained for the uncorrected formation energy is 777 meV/atom. As for the total energy: -134.27 eV for the cell shown.

---

# 4
The following is a SCAN calculation of a crystal of InTcRh2 relaxed with PBEsol, from Alexandria via LeMat-Bulk.

It has space group Pmmm (No. 47), with a = 3.748 Å, b = 4.002 Å, c = 4.016 Å, α = 90.00°, β = 90.00° and γ = 90.00°. The distinct sites, in fractional coordinates, are In at (0.000, 0.000, 0.000), Tc at (0.000, 0.500, 0.500), Rh at (0.500, 0.000, 0.500) and Rh at (0.500, 0.500, 0.000).

For the formation energy, the calculation gives 0.049 eV/atom. The total magnetic moment comes out at 2.7 μB per formula unit. As for the total energy: -135.79 eV for the cell shown.